[1]
Compound: Pa2TcAs
Source: Alexandria via LeMat-Bulk
Functional: PBE
Structure: optimized geometry

Results
formation energy	-0.389	eV per atom
energy relative to the lowest polymorph listed for this composition	123	meV/atom
density of states at the Fermi level	1.5916	states/eV/atom
calculated volume	20.0	Å³ per atom
uncorrected energy	-8.891	eV/atom

Geometry as CIF:
```
data_Pa2TcAs
_cell_length_a 4.365
_cell_length_b 4.365
_cell_length_c 4.189
_cell_angle_alpha 90.00
_cell_angle_beta 90.00
_cell_angle_gamma 90.00
_symmetry_space_group_name_H-M 'P 4/m m m'
_symmetry_Int_Tables_number 123
_symmetry_space_group_name_Hall '-P 4 2'
loop_
_atom_site_label
_atom_site_type_symbol
_atom_site_fract_x
_atom_site_fract_y
_atom_site_fract_z
Pa1 Pa 0.000 0.500 0.000
Tc1 Tc 0.000 0.000 0.500
As1 As 0.500 0.500 0.500
```

=====

[2]
Compound: PaTcAs3
Source: Alexandria via LeMat-Bulk
Functional: PBE
Structure: optimized geometry

Results
formation energy	-0.435	eV per atom
density of states at the Fermi level	0.5519	states/eV/atom
calculated volume	21.1	Å³ per atom
uncorrected energy	-7.197	eV/atom

Geometry as CIF:
```
data_PaTcAs3
_cell_length_a 10.316
_cell_length_b 12.517
_cell_length_c 6.570
_cell_angle_alpha 90.00
_cell_angle_beta 95.92
_cell_angle_gamma 90.00
_symmetry_space_group_name_H-M 'C 1 2/c 1'
_symmetry_Int_Tables_number 15
_symmetry_space_group_name_Hall '-C 2yc'
loop_
_atom_site_label
_atom_site_type_symbol
_atom_site_fract_x
_atom_site_fract_y
_atom_site_fract_z
Pa1 Pa 0.195 0.092 0.048
Tc1 Tc 0.000 0.290 0.750
Tc2 Tc 0.000 0.470 0.250
As1 As 0.087 0.116 0.622
As2 As 0.109 0.296 0.123
As3 As 0.143 0.408 0.567
```

=====

[3]
Compound: PaTcAs2
Source: Alexandria via LeMat-Bulk
Functional: PBE
Structure: optimized geometry

Results
formation energy	-0.351	eV per atom
energy relative to the lowest polymorph listed for this composition	65	meV/atom
density of states at the Fermi level	1.1390	states/eV/atom
calculated volume	18.5	Å³ per atom
uncorrected energy	-7.641	eV/atom

Geometry as CIF:
```
data_PaTcAs2
_cell_length_a 6.669
_cell_length_b 6.669
_cell_length_c 6.669
_cell_angle_alpha 90.00
_cell_angle_beta 90.00
_cell_angle_gamma 90.00
_symmetry_space_group_name_H-M 'F m -3 m'
_symmetry_Int_Tables_number 225
_symmetry_space_group_name_Hall '-F 4 2 3'
loop_
_atom_site_label
_atom_site_type_symbol
_atom_site_fract_x
_atom_site_fract_y
_atom_site_fract_z
Pa1 Pa 0.000 0.000 0.000
Tc1 Tc 0.000 0.000 0.500
As1 As 0.250 0.250 0.250
```

=====

[4]
Compound: PaTc2As2
Source: Alexandria via LeMat-Bulk
Functional: PBE
Structure: optimized geometry

Results
formation energy	-0.624	eV per atom
energy relative to the lowest polymorph listed for this composition	0	meV/atom
density of states at the Fermi level	0.6425	states/eV/atom
calculated volume	18.3	Å³ per atom
uncorrected energy	-8.529	eV/atom

Geometry as CIF:
```
data_PaTc2As2
_cell_length_a 4.032
_cell_length_b 22.251
_cell_length_c 4.079
_cell_angle_alpha 90.00
_cell_angle_beta 90.00
_cell_angle_gamma 90.00
_symmetry_space_group_name_H-M 'C m c m'
_symmetry_Int_Tables_number 63
_symmetry_space_group_name_Hall '-C 2c 2'
loop_
_atom_site_label
_atom_site_type_symbol
_atom_site_fract_x
_atom_site_fract_y
_atom_site_fract_z
Pa1 Pa 0.000 0.149 0.250
Tc1 Tc 0.000 0.037 0.750
Tc2 Tc 0.000 0.460 0.750
As1 As 0.000 0.250 0.750
As2 As 0.000 0.388 0.250
```

=====

[5]
Compound: PaTcAs2
Source: Alexandria via LeMat-Bulk
Functional: PBE
Structure: optimized geometry

Results
formation energy	-0.248	eV per atom
energy relative to the lowest polymorph listed for this composition	169	meV/atom
density of states at the Fermi level	1.4952	states/eV/atom
calculated volume	18.0	Å³ per atom
uncorrected energy	-7.538	eV/atom

Geometry as CIF:
```
data_PaTcAs2
_cell_length_a 3.187
_cell_length_b 3.187
_cell_length_c 7.086
_cell_angle_alpha 90.00
_cell_angle_beta 90.00
_cell_angle_gamma 90.00
_symmetry_space_group_name_H-M 'P 4/m m m'
_symmetry_Int_Tables_number 123
_symmetry_space_group_name_Hall '-P 4 2'
loop_
_atom_site_label
_atom_site_type_symbol
_atom_site_fract_x
_atom_site_fract_y
_atom_site_fract_z
Pa1 Pa 0.000 0.000 0.000
Tc1 Tc 0.000 0.000 0.500
As1 As 0.500 0.500 0.291
```

=====

[6]
Compound: PaTcAs2
Source: Alexandria via LeMat-Bulk
Functional: PBE
Structure: optimized geometry

Results
formation energy	-0.417	eV per atom
energy relative to the lowest polymorph listed for this composition	0	meV/atom
density of states at the Fermi level	0.9257	states/eV/atom
calculated volume	18.4	Å³ per atom
uncorrected energy	-7.707	eV/atom

Geometry as CIF:
```
data_PaTcAs2
_cell_length_a 4.591
_cell_length_b 4.591
_cell_length_c 3.500
_cell_angle_alpha 90.00
_cell_angle_beta 90.00
_cell_angle_gamma 90.00
_symmetry_space_group_name_H-M 'P 4/m m m'
_symmetry_Int_Tables_number 123
_symmetry_space_group_name_Hall '-P 4 2'
loop_
_atom_site_label
_atom_site_type_symbol
_atom_site_fract_x
_atom_site_fract_y
_atom_site_fract_z
Pa1 Pa 0.000 0.000 0.000
Tc1 Tc 0.500 0.500 0.000
As1 As 0.000 0.500 0.500
```

=====

Q: What is the formula in the sixth record?
A: PaTcAs2

=====

Q: uncorrected energy of number 5 (PaTcAs2)?
A: -7.538 eV/atom